A relaxed Er3PuO8 crystal, computed with PBE-GGA.

Cell: 5.9663 5.9663 6.6915 Å, 90.00 90.00 120.94°
With the nearest neighbours (Å) after each atom.
Fractional positions:
Er1 0.0000 0.5000 0.2269  4 O 2.15-2.33
Er2 0.5000 0.5000 0.0000  6 O 2.20-2.27
Er3 0.5000 0.0000 0.7731  4 O 2.15-2.33
Pu1 0.5000 0.5000 0.5000  6 O 1.98-2.05
O1 0.6904 0.3096 0.5000  1 Pu 1.98
O2 0.7117 0.2883 0.0000  3 Er 2.15-2.20
O3 0.6982 0.7543 0.7296  1 Pu 2.05, 1 Er 2.27
O4 0.7543 0.6982 0.2704  1 Pu 2.05, 1 Er 2.27
O5 0.2457 0.3018 0.2704  1 Pu 2.05, 1 Er 2.27
O6 0.3018 0.2457 0.7296  1 Pu 2.05, 1 Er 2.27
O7 0.2883 0.7117 0.0000  3 Er 2.15-2.20
O8 0.3096 0.6904 0.5000  1 Pu 1.98

As for the symmetry: No. 21. For the formation energy (no corrections), the calculation gives -2.993 eV per atom. The calculated total energy is -8.633 eV/atom.